Record 1
Computed, not measured: an optimized crystal structure of PuZn4Cu at the GGA-PBE level of DFT.

a b c (Å): 3.940 6.950 7.637
angles (deg): 90.00 90.00 90.00
Each line ends with the local moment (μB).
Atoms (fractional coordinates):
Zn 0.500 0.950 0.750  0.00
Zn 0.000 0.000 0.500  -0.01
Cu 0.000 0.207 0.750  -0.02
Zn 0.000 0.000 0.000  -0.01
Pu 0.000 0.616 0.750  5.30
Cu 0.000 0.793 0.250  -0.02
Zn 0.500 0.693 0.444  0.00
Zn 0.500 0.307 0.556  0.00
Zn 0.500 0.050 0.250  0.00
Pu 0.000 0.384 0.250  5.30
Zn 0.500 0.307 0.944  0.00
Zn 0.500 0.693 0.056  0.00

Energy above the lowest structure with this stoichiometry: 0.000 eV per atom
M_tot: 5.551 μB per formula unit
E_tot: -4.00 eV/atom

---

Record 2
Computed, not measured: an optimized crystal structure of Pu2ZnCu at the GGA-PBE level of DFT.

a b c (Å): 3.760 3.760 5.981
angles (deg): 90.00 90.00 90.00
Each line ends with the local moment (μB).
Atoms (fractional coordinates):
Cu 0.500 0.500 0.000  0.05
Pu 0.000 0.000 0.245  5.45
Pu 0.000 0.000 0.755  5.45
Zn 0.500 0.500 0.500  0.02

M_tot: 11.482 μB per formula unit
E_tot: -8.47 eV/atom

---

Record 3
Computed, not measured: an optimized crystal structure of Pu2Zn15Cu2 at the GGA-PBE level of DFT.

a b c (Å): 6.787 6.787 6.787
angles (deg): 82.46 82.46 82.46
Each line ends with the local moment (μB).
Atoms (fractional coordinates):
Pu 0.661 0.661 0.661  5.30
Cu 0.101 0.101 0.101  0.00
Zn 0.290 0.710 0.000  0.00
Zn 0.000 0.290 0.710  0.00
Zn 0.000 0.710 0.290  0.00
Zn 0.710 0.290 0.000  0.00
Zn 0.000 0.000 0.500  0.00
Zn 0.290 0.000 0.710  0.00
Zn 0.000 0.500 0.000  0.00
Zn 0.710 0.000 0.290  0.00
Cu 0.899 0.899 0.899  0.00
Zn 0.649 0.649 0.153  0.00
Zn 0.847 0.351 0.351  0.00
Zn 0.153 0.649 0.649  0.00
Zn 0.649 0.153 0.649  0.00
Zn 0.500 0.000 0.000  0.00
Zn 0.351 0.351 0.847  0.00
Zn 0.351 0.847 0.351  0.00
Pu 0.339 0.339 0.339  5.30

M_tot: 11.219 μB per formula unit
E_tot: -3.07 eV/atom

---

Record 4
Computed, not measured: an optimized crystal structure of PuZn9Cu2 at the GGA-PBE level of DFT.

a b c (Å): 6.755 8.159 8.159
angles (deg): 80.13 65.54 65.54
Each line ends with the local moment (μB).
Atoms (fractional coordinates):
Pu 0.500 0.000 0.000  5.32
Zn 0.678 0.175 0.582  -0.01
Zn 0.147 0.175 0.418  -0.01
Cu 0.375 0.750 0.750  -0.01
Zn 0.147 0.418 0.175  -0.01
Zn 0.435 0.825 0.418  -0.01
Zn 0.315 0.082 0.675  -0.01
Zn 0.011 0.675 0.918  -0.01
Zn 0.435 0.418 0.825  -0.01
Cu 0.875 0.250 0.250  -0.01
Zn 0.739 0.582 0.825  -0.01
Zn 0.000 0.000 0.000  0.00
Zn 0.315 0.675 0.082  -0.01
Zn 0.678 0.582 0.175  -0.01
Zn 0.072 0.325 0.918  -0.01
Zn 0.739 0.825 0.582  -0.01
Zn 0.072 0.918 0.325  -0.01
Pu 0.250 0.500 0.500  5.32
Cu 0.875 0.750 0.250  -0.01
Cu 0.875 0.250 0.750  -0.01
Zn 0.603 0.325 0.082  -0.01
Zn 0.011 0.918 0.675  -0.01
Zn 0.750 0.500 0.500  0.00
Zn 0.603 0.082 0.325  -0.01

Energy above the lowest structure with this stoichiometry: 0.000 eV per atom
M_tot: 5.434 μB per formula unit
E_tot: -2.98 eV/atom

---

Record 5
Computed, not measured: an optimized crystal structure of PuZn10Cu2 at the GGA-PBE level of DFT.

a b c (Å): 4.985 6.834 6.821
angles (deg): 82.34 68.57 68.61
Each line ends with the local moment (μB).
Atoms (fractional coordinates):
Zn 0.505 0.778 0.211  0.01
Zn 0.009 0.641 0.341  0.01
Zn 0.500 0.000 0.500  0.00
Zn 0.000 0.000 0.500  0.00
Cu 0.500 0.500 0.000  0.01
Pu 0.000 0.000 0.000  5.30
Zn 0.495 0.222 0.789  0.01
Zn 0.991 0.359 0.659  0.01
Zn 0.717 0.778 0.789  0.01
Zn 0.350 0.641 0.659  0.01
Cu 0.000 0.500 0.000  0.01
Zn 0.650 0.359 0.341  0.01
Zn 0.283 0.222 0.211  0.01

M_tot: 5.742 μB per formula unit
E_tot: -2.83 eV/atom

---

Record 6
Computed, not measured: an optimized crystal structure of PuZn4Cu at the GGA-PBE level of DFT.

a b c (Å): 5.274 5.274 5.274
angles (deg): 60.00 60.00 60.00
Each line ends with the local moment (μB).
Atoms (fractional coordinates):
Cu 0.000 0.000 0.000  0.07
Zn 0.122 0.626 0.626  0.05
Pu 0.250 0.250 0.250  5.46
Zn 0.626 0.626 0.122  0.05
Zn 0.626 0.122 0.626  0.05
Zn 0.626 0.626 0.626  0.05

Energy above the lowest structure with this stoichiometry: 0.107 eV per atom
M_tot: 6.138 μB per formula unit
E_tot: -3.89 eV/atom

---

Record 7
Computed, not measured: an optimized crystal structure of PuZrZnCu at the GGA-PBE level of DFT.

a b c (Å): 4.833 4.833 4.833
angles (deg): 60.00 60.00 60.00
Each line ends with the local moment (μB).
Atoms (fractional coordinates):
Pu 0.500 0.500 0.500  5.28
Zn 0.750 0.750 0.750  0.04
Cu 0.250 0.250 0.250  0.10
Zr 0.000 0.000 0.000  0.47

M_tot: 6.462 μB per formula unit
E_tot: -7.04 eV/atom

---

Record 8
Computed, not measured: an optimized crystal structure of Pu2ZrCu at the GGA-PBE level of DFT.

a b c (Å): 3.138 3.138 9.015
angles (deg): 90.00 90.00 90.00
Each line ends with the local moment (μB).
Atoms (fractional coordinates):
Pu 0.000 0.000 0.227  5.26
Pu 0.000 0.000 0.773  5.26
Cu 0.500 0.500 0.000  0.04
Zr 0.500 0.500 0.500  -0.31

M_tot: 10.594 μB per formula unit
E_tot: -10.17 eV/atom

---

Record 9
Computed, not measured: an optimized crystal structure of PuZrCu2 at the GGA-PBE level of DFT.

a b c (Å): 3.251 3.251 7.187
angles (deg): 90.00 90.00 90.00
Each line ends with the local moment (μB).
Atoms (fractional coordinates):
Cu 0.000 0.000 0.218  0.00
Pu 0.500 0.500 0.500  5.44
Zr 0.500 0.500 0.000  -0.12
Cu 0.000 0.000 0.782  0.00

Energy above the lowest structure with this stoichiometry: 0.000 eV per atom
M_tot: 5.580 μB per formula unit
E_tot: -7.77 eV/atom

---

Record 10
Computed, not measured: an optimized crystal structure of PuZrCu2 at the GGA-PBE level of DFT.

a b c (Å): 4.771 4.771 4.772
angles (deg): 60.00 60.00 60.00
Each line ends with the local moment (μB).
Atoms (fractional coordinates):
Pu 0.000 0.000 0.000  5.21
Zr 0.500 0.500 0.500  0.45
Cu 0.750 0.750 0.750  0.07
Cu 0.250 0.250 0.250  0.07

Energy above the lowest structure with this stoichiometry: 0.101 eV per atom
M_tot: 6.305 μB per formula unit
E_tot: -7.67 eV/atom

---

Record 11
Computed, not measured: an optimized crystal structure of Pu2ZrCu9 at the GGA-PBE level of DFT.

a b c (Å): 5.051 5.051 8.838
angles (deg): 73.40 73.40 60.00
Each line ends with the local moment (μB).
Atoms (fractional coordinates):
Cu 0.668 0.668 0.996  0.01
Zr 0.000 0.000 0.000  0.11
Cu 0.500 0.500 0.500  0.04
Pu 0.854 0.854 0.437  5.29
Cu 0.421 0.421 0.240  0.02
Cu 0.421 0.917 0.240  0.02
Cu 0.332 0.332 0.004  0.01
Cu 0.083 0.579 0.760  0.02
Cu 0.579 0.579 0.760  0.02
Cu 0.917 0.421 0.240  0.02
Cu 0.579 0.083 0.760  0.02
Pu 0.146 0.146 0.563  5.29

M_tot: 11.404 μB per formula unit
E_tot: -6.20 eV/atom

---

Record 12
Computed, not measured: an optimized crystal structure of PuZrCu10 at the GGA-PBE level of DFT.

a b c (Å): 4.083 4.987 8.623
angles (deg): 90.00 90.00 90.00
Each line ends with the local moment (μB).
Atoms (fractional coordinates):
Cu 0.500 0.255 0.258  0.03
Cu 0.000 0.000 0.340  0.02
Cu 0.500 0.000 0.500  0.03
Cu 0.000 0.500 0.175  0.02
Cu 0.000 0.000 0.660  0.02
Pu 0.000 0.000 0.000  5.30
Cu 0.500 0.745 0.742  0.03
Cu 0.000 0.500 0.825  0.02
Cu 0.500 0.500 0.000  0.03
Cu 0.500 0.745 0.258  0.03
Cu 0.500 0.255 0.742  0.03
Zr 0.000 0.500 0.500  0.12

M_tot: 6.226 μB per formula unit
E_tot: -5.35 eV/atom

---

Record 13
Computed, not measured: an optimized crystal structure of RbCu at the GGA-PBE level of DFT.

a b c (Å): 9.634 9.634 9.634
angles (deg): 90.00 90.00 90.00
Each line ends with the local moment (μB).
Atoms (fractional coordinates):
Rb 0.750 0.500 0.000  0.00
Rb 0.000 0.750 0.500  0.00
Cu 0.500 0.750 0.000  0.18
Cu 0.000 0.500 0.250  0.18
Cu 0.250 0.000 0.500  0.18
Cu 0.000 0.500 0.750  0.18
Rb 0.500 0.000 0.750  0.00
Rb 0.000 0.250 0.500  0.00
Cu 0.750 0.000 0.500  0.18
Rb 0.500 0.000 0.250  0.00
Rb 0.250 0.500 0.000  0.00
Cu 0.500 0.250 0.000  0.18

M_tot: 0.203 μB per formula unit
E_tot: -1.88 eV/atom

---

Record 14
Computed, not measured: an optimized crystal structure of RbCu at the GGA-PBE level of DFT.

a b c (Å): 7.839 7.839 7.839
angles (deg): 90.00 90.00 90.00
Each line ends with the local moment (μB).
Atoms (fractional coordinates):
Cu 0.750 0.750 0.250  0.18
Rb 0.500 0.500 0.000  0.00
Cu 0.250 0.250 0.250  0.18
Cu 0.750 0.250 0.750  0.18
Rb 0.000 0.500 0.500  0.00
Rb 0.500 0.000 0.500  0.00
Rb 0.000 0.000 0.000  0.00
Cu 0.250 0.750 0.750  0.18

M_tot: 0.201 μB per formula unit
E_tot: -1.89 eV/atom

---

Record 15
Computed, not measured: an optimized crystal structure of RbCu at the GGA-PBE level of DFT.

a b c (Å): 9.832 9.832 9.832
angles (deg): 90.00 90.00 90.00
Atoms (fractional coordinates):
Rb 0.787 0.787 0.787
Cu 0.588 0.412 0.412
Cu 0.912 0.088 0.912
Rb 0.787 0.213 0.213
Cu 0.088 0.088 0.088
Cu 0.412 0.588 0.412
Cu 0.912 0.912 0.088
Cu 0.588 0.588 0.588
Rb 0.213 0.213 0.787
Cu 0.088 0.912 0.912
Rb 0.287 0.287 0.287
Rb 0.713 0.287 0.713
Rb 0.713 0.713 0.287
Rb 0.287 0.713 0.713
Rb 0.213 0.787 0.213
Cu 0.412 0.412 0.588

M_tot: 0.000 μB per formula unit
E_tot: -2.13 eV/atom

---

Record 16
Computed, not measured: an optimized crystal structure of RbCu at the GGA-PBE level of DFT.

a b c (Å): 5.987 5.987 6.978
angles (deg): 90.00 90.00 120.00
Each line ends with the local moment (μB).
Atoms (fractional coordinates):
Rb 0.333 0.667 0.750  0.00
Rb 0.667 0.333 0.250  0.00
Cu 0.667 0.333 0.750  -0.16
Cu 0.333 0.667 0.250  -0.16

M_tot: 0.196 μB per formula unit
E_tot: -1.94 eV/atom

---

Record 17
Computed, not measured: an optimized crystal structure of RbCu at the GGA-PBE level of DFT.

a b c (Å): 10.320 8.667 5.778
angles (deg): 90.00 90.00 90.00
Atoms (fractional coordinates):
Rb 0.177 0.646 0.750
Cu 0.500 0.270 0.250
Rb 0.677 0.854 0.250
Rb 0.177 0.354 0.250
Rb 0.323 0.854 0.250
Rb 0.677 0.146 0.750
Cu 0.000 0.770 0.250
Cu 0.000 0.230 0.750
Cu 0.500 0.500 0.000
Cu 0.500 0.500 0.500
Cu 0.000 0.000 0.000
Rb 0.823 0.646 0.750
Cu 0.000 0.000 0.500
Rb 0.323 0.146 0.750
Rb 0.823 0.354 0.250
Cu 0.500 0.730 0.750

M_tot: 0.000 μB per formula unit
E_tot: -2.16 eV/atom

---

Record 18
Computed, not measured: an optimized crystal structure of RbCu at the GGA-PBE level of DFT.

a b c (Å): 10.178 16.749 6.346
angles (deg): 90.00 90.00 90.00
Atoms (fractional coordinates):
Rb 0.421 0.750 0.750
Rb 0.171 0.000 0.500
Cu 0.750 0.678 0.750
Cu 0.000 0.072 0.000
Rb 0.421 0.250 0.250
Rb 0.671 0.000 0.000
Rb 0.579 0.750 0.250
Cu 0.750 0.322 0.250
Rb 0.921 0.750 0.250
Rb 0.329 0.500 0.500
Cu 0.000 0.572 0.500
Rb 0.079 0.250 0.250
Rb 0.829 0.500 0.000
Rb 0.171 0.500 0.000
Cu 0.500 0.072 0.500
Cu 0.250 0.822 0.250
Cu 0.500 0.928 0.500
Cu 0.250 0.178 0.750
Rb 0.079 0.750 0.750
Cu 0.000 0.928 0.000
Cu 0.750 0.822 0.750
Cu 0.250 0.322 0.750
Rb 0.671 0.500 0.500
Cu 0.000 0.428 0.500
Cu 0.500 0.428 0.000
Cu 0.750 0.178 0.250
Rb 0.329 0.000 0.000
Cu 0.250 0.678 0.250
Cu 0.500 0.572 0.000
Rb 0.829 0.000 0.500
Rb 0.921 0.250 0.750
Rb 0.579 0.250 0.750

M_tot: 0.000 μB per formula unit
E_tot: -2.05 eV/atom

---

Record 19
Computed, not measured: an optimized crystal structure of RbCu at the GGA-PBE level of DFT.

a b c (Å): 12.663 12.663 4.479
angles (deg): 90.00 90.00 90.00
Atoms (fractional coordinates):
Cu 0.229 0.771 0.000
Rb 0.000 0.252 0.500
Rb 0.252 0.000 0.500
Rb 0.752 0.500 0.000
Cu 0.229 0.229 0.000
Rb 0.500 0.248 0.000
Rb 0.500 0.752 0.000
Rb 0.248 0.500 0.000
Cu 0.729 0.729 0.500
Cu 0.771 0.771 0.000
Cu 0.271 0.729 0.500
Cu 0.729 0.271 0.500
Rb 0.748 0.000 0.500
Rb 0.000 0.748 0.500
Cu 0.771 0.229 0.000
Cu 0.271 0.271 0.500

M_tot: 0.000 μB per formula unit
E_tot: -2.18 eV/atom

---

Record 20
Computed, not measured: an optimized crystal structure of RbCu at the GGA-PBE level of DFT.

a b c (Å): 4.517 6.626 15.399
angles (deg): 90.00 90.00 90.00
Atoms (fractional coordinates):
Cu 0.500 0.981 0.924
Cu 0.500 0.012 0.500
Rb 0.000 0.533 0.500
Rb 0.500 0.234 0.285
Cu 0.000 0.019 0.576
Rb 0.000 0.766 0.785
Cu 0.500 0.981 0.076
Rb 0.000 0.766 0.215
Rb 0.500 0.234 0.715
Cu 0.000 0.019 0.424
Cu 0.000 0.988 0.000
Rb 0.500 0.467 0.000

M_tot: 0.000 μB per formula unit
E_tot: -2.17 eV/atom